Record 1
DFT (meta-GGA SCAN) results for Co3Os at its PBEsol-relaxed geometry.

Geometry as extended XYZ:
```
4
Lattice="-2.648 1.197 -3.349 3.332 -0.624 -2.858 -1.243 -4.223 -0.527" Properties=species:S:1:pos:R:3 pbc="T T T"
Co -0.622 -2.112 -0.263
Co 1.666 -0.312 -1.429
Co -1.324 0.599 -1.674
Os 0.000 0.000 0.000
```

## Properties
- symmetry = No. 221
- formation enthalpy at 0 K (eV/atom) = 2.07

Record 2
DFT (meta-GGA SCAN) results for Cs2BaInSn at its PBEsol-relaxed geometry.

Geometry as extended XYZ:
```
5
Lattice="6.052 0.000 0.000 0.000 6.719 0.000 0.000 0.000 6.719" Properties=species:S:1:pos:R:3 pbc="T T T"
Cs 0.000 0.000 3.360
Cs 0.000 3.360 0.000
In 3.026 0.000 0.000
Ba 0.000 0.000 0.000
Sn 3.026 3.360 3.360
```

## Properties
- symmetry = No. 123
- formation enthalpy at 0 K (eV/atom) = 0.66

Record 3
DFT (meta-GGA SCAN) results for BaCu3O4 at its PBEsol-relaxed geometry.

Geometry as extended XYZ:
```
8
Lattice="-2.606 2.024 2.141 1.673 -2.615 4.508 2.910 5.209 -1.382" Properties=species:S:1:pos:R:3 pbc="T T T"
Ba -1.303 1.012 1.071
Cu 0.837 -1.307 2.254
Cu 1.848 1.924 0.430
Cu 2.736 0.670 2.696
O 2.211 -0.935 3.576
O 2.372 3.530 -0.450
O 3.186 2.258 1.743
O 1.397 0.336 1.383
```

## Properties
- symmetry = No. 65
- E_form (uncorrected) (eV per atom) = -1.330

Record 4
DFT (meta-GGA SCAN) results for BeSiPt3 at its PBEsol-relaxed geometry.

Geometry as extended XYZ:
```
5
Lattice="-1.610 -2.354 3.068 -2.593 -1.808 -2.748 2.869 -2.956 -0.762" Properties=species:S:1:pos:R:3 pbc="T T T"
Be 0.000 0.000 0.000
Si -0.667 -3.559 -0.221
Pt -1.297 -0.904 -1.374
Pt 1.434 -1.478 -0.381
Pt -0.805 -1.177 1.534
```

## Properties
- symmetry = No. 221
- E_form (uncorrected) (eV per atom) = 0.191